# Co2AsBr

A relaxed structure of Co2AsBr (PBE, Alexandria via LeMat-Bulk).

Cell and atoms, written as CIF:
```
data_Co2AsBr
_cell_length_a 6.203
_cell_length_b 6.221
_cell_length_c 3.026
_cell_angle_alpha 90.00
_cell_angle_beta 90.12
_cell_angle_gamma 90.00
_space_group_name_H-M_alt 'C 1 2/m 1'
_space_group_IT_number 12
_space_group_name_Hall '-C 2y'
loop_
_atom_site_label
_atom_site_fract_x
_atom_site_fract_y
_atom_site_fract_z
Co1 0.250 0.250 0.000
As1 0.000 0.000 0.500
Br1 0.000 0.500 0.500
```

Formation energy from raw total energies in kJ/mol of formula units: 214
Theoretical density in g/cm³: 7.8
Relative energy among the computed polymorphs in meV/atom: 479
Density of states at the Fermi level in states/eV/cell: 10.1

=====

# Co2AsBr

A relaxed structure of Co2AsBr (PBE, Alexandria via LeMat-Bulk).

Cell and atoms, written as CIF:
```
data_Co2AsBr
_cell_length_a 6.138
_cell_length_b 6.138
_cell_length_c 6.138
_cell_angle_alpha 90.00
_cell_angle_beta 90.00
_cell_angle_gamma 90.00
_space_group_name_H-M_alt 'F m -3 m'
_space_group_IT_number 225
_space_group_name_Hall '-F 4 2 3'
loop_
_atom_site_label
_atom_site_fract_x
_atom_site_fract_y
_atom_site_fract_z
Co1 0.250 0.250 0.250
As1 0.000 0.000 0.000
Br1 0.000 0.000 0.500
```

Formation energy from raw total energies in kJ/mol of formula units: 217
Theoretical density in g/cm³: 7.8
Relative energy among the computed polymorphs in meV/atom: 487
Density of states at the Fermi level in states/eV/cell: 21.9

=====

# CoAsBr

A relaxed structure of CoAsBr (PBE, Alexandria via LeMat-Bulk).

Cell and atoms, written as CIF:
```
data_CoAsBr
_cell_length_a 3.672
_cell_length_b 5.592
_cell_length_c 12.127
_cell_angle_alpha 90.00
_cell_angle_beta 90.00
_cell_angle_gamma 90.00
_space_group_name_H-M_alt 'F m m 2'
_space_group_IT_number 42
_space_group_name_Hall 'F 2 -2'
loop_
_atom_site_label
_atom_site_fract_x
_atom_site_fract_y
_atom_site_fract_z
Co1 0.000 0.000 0.000
As1 0.000 0.000 0.390
Br1 0.000 0.000 0.640
```

Formation energy from raw total energies in kJ/mol of formula units: 64
Theoretical density in g/cm³: 5.7
Relative energy among the computed polymorphs in meV/atom: 316
Density of states at the Fermi level in states/eV/cell: 10.1

=====

# Co2AsBr

A relaxed structure of Co2AsBr (PBE, Alexandria via LeMat-Bulk).

Cell and atoms, written as CIF:
```
data_Co2AsBr
_cell_length_a 3.054
_cell_length_b 3.208
_cell_length_c 6.515
_cell_angle_alpha 90.00
_cell_angle_beta 90.00
_cell_angle_gamma 90.00
_space_group_name_H-M_alt 'P m m m'
_space_group_IT_number 47
_space_group_name_Hall '-P 2 2'
loop_
_atom_site_label
_atom_site_fract_x
_atom_site_fract_y
_atom_site_fract_z
Co1 0.000 0.000 0.185
As1 0.500 0.500 0.000
Br1 0.500 0.000 0.500
```

Formation energy from raw total energies in kJ/mol of formula units: 82
Theoretical density in g/cm³: 7.1
Relative energy among the computed polymorphs in meV/atom: 137
Density of states at the Fermi level in states/eV/cell: 5.3

=====

# CoAsBr

A relaxed structure of CoAsBr (PBE, Alexandria via LeMat-Bulk).

Cell and atoms, written as CIF:
```
data_CoAsBr
_cell_length_a 3.572
_cell_length_b 6.148
_cell_length_c 6.546
_cell_angle_alpha 69.01
_cell_angle_beta 81.36
_cell_angle_gamma 77.56
_space_group_name_H-M_alt 'P -1'
_space_group_IT_number 2
_space_group_name_Hall '-P 1'
loop_
_atom_site_label
_atom_site_fract_x
_atom_site_fract_y
_atom_site_fract_z
Co1 0.054 0.193 0.022
As1 0.417 0.021 0.780
Br1 0.156 0.567 0.739
```

Formation energy from raw total energies in kJ/mol of formula units: -27
Theoretical density in g/cm³: 5.4
Relative energy among the computed polymorphs in meV/atom: 0
Density of states at the Fermi level in states/eV/cell: 3.3

=====

# Co2AsBr

A relaxed structure of Co2AsBr (PBE, Alexandria via LeMat-Bulk).

Cell and atoms, written as CIF:
```
data_Co2AsBr
_cell_length_a 3.082
_cell_length_b 3.082
_cell_length_c 6.423
_cell_angle_alpha 90.00
_cell_angle_beta 90.00
_cell_angle_gamma 90.00
_space_group_name_H-M_alt 'P 4/m m m'
_space_group_IT_number 123
_space_group_name_Hall '-P 4 2'
loop_
_atom_site_label
_atom_site_fract_x
_atom_site_fract_y
_atom_site_fract_z
Co1 0.000 0.000 0.198
As1 0.500 0.500 0.000
Br1 0.500 0.500 0.500
```

Formation energy from raw total energies in kJ/mol of formula units: 153
Theoretical density in g/cm³: 7.4
Relative energy among the computed polymorphs in meV/atom: 321
Density of states at the Fermi level in states/eV/cell: 5.3